DFT (PBE) results for crystalline LaNdCu at its relaxed geometry.

Summary:
Calculated formation energy = 0.05 eV per atom
Mass density = 7.1 g cm⁻³
Relative energy among the computed polymorphs = 135 meV/atom
DFT total energy = -4.5515 eV/atom
Magnetization = 0.00 μB/f.u.

abc: 4.9003 4.9003 3.8795
angles: 90.00 90.00 120.00
Fractional positions:
La (0.0000, 0.0000, 0.0000)
Nd (0.3333, 0.6667, 0.4168)
Cu (0.6667, 0.3333, 0.6760)

---

DFT (PBE) results for crystalline LaNdCu2 at its relaxed geometry.

Summary:
Calculated formation energy = -0.14 eV per atom
Mass density = 7.2 g cm⁻³
Relative energy among the computed polymorphs = 32 meV/atom
DFT total energy = -4.6114 eV/atom
Magnetization = 0.00 μB/f.u.

abc: 3.6192 3.6192 7.2515
angles: 90.00 90.00 90.00
Fractional positions:
La (0.0000, 0.0000, 0.0000)
Nd (0.0000, 0.0000, 0.5000)
Cu (0.5000, 0.5000, 0.2608)
Cu (0.5000, 0.5000, 0.7392)

---

DFT (PBE) results for crystalline La2NdCu6 at its relaxed geometry.

Summary:
Calculated formation energy = -0.22 eV per atom
Mass density = 7.2 g cm⁻³
DFT total energy = -4.5765 eV/atom
Magnetization = 0.00 μB/f.u.

abc: 7.4813 7.4813 3.8257
angles: 90.00 90.00 120.00
Fractional positions:
La (0.3333, 0.6667, 0.0000)
La (0.6667, 0.3333, 0.0000)
Nd (0.0000, 0.0000, 0.0000)
Cu (0.0000, 0.3323, 0.5000)
Cu (0.0000, 0.6677, 0.5000)
Cu (0.3323, 0.0000, 0.5000)
Cu (0.3323, 0.3323, 0.5000)
Cu (0.6677, 0.0000, 0.5000)
Cu (0.6677, 0.6677, 0.5000)

---

DFT (PBE) results for crystalline LaNdCu at its relaxed geometry.

Summary:
Calculated formation energy = 0.11 eV per atom
Mass density = 6.4 g cm⁻³
Relative energy among the computed polymorphs = 204 meV/atom
DFT total energy = -4.4828 eV/atom
Magnetization = 1.25 μB/f.u.

abc: 7.1261 7.1261 7.1261
angles: 90.00 90.00 90.00
Fractional positions:
La (0.0000, 0.0000, 0.0000)
La (0.0000, 0.5000, 0.5000)
La (0.5000, 0.0000, 0.5000)
La (0.5000, 0.5000, 0.0000)
Nd (0.0000, 0.0000, 0.5000)
Nd (0.0000, 0.5000, 0.0000)
Nd (0.5000, 0.0000, 0.0000)
Nd (0.5000, 0.5000, 0.5000)
Cu (0.2500, 0.2500, 0.2500)
Cu (0.2500, 0.7500, 0.7500)
Cu (0.7500, 0.2500, 0.7500)
Cu (0.7500, 0.7500, 0.2500)

---

DFT (PBE) results for crystalline LaNd2Cu3 at its relaxed geometry.

Summary:
Calculated formation energy = -0.14 eV per atom
Mass density = 7.2 g cm⁻³
Relative energy among the computed polymorphs = 3 meV/atom
DFT total energy = -4.5950 eV/atom
Magnetization = 0.00 μB/f.u.

abc: 8.1028 8.1028 7.1726
angles: 90.00 90.00 143.04
Fractional positions:
La (0.1665, 0.8335, 0.0000)
La (0.8335, 0.1665, 0.0000)
Nd (0.1673, 0.8327, 0.5000)
Nd (0.5000, 0.5000, 0.0000)
Nd (0.5000, 0.5000, 0.5000)
Nd (0.8327, 0.1673, 0.5000)
Cu (0.0000, 0.0000, 0.2546)
Cu (0.0000, 0.0000, 0.7454)
Cu (0.3352, 0.6648, 0.2575)
Cu (0.3352, 0.6648, 0.7425)
Cu (0.6648, 0.3352, 0.2575)
Cu (0.6648, 0.3352, 0.7425)

---

DFT (PBE) results for crystalline La3NdCu at its relaxed geometry.

Summary:
Calculated formation energy = -0.04 eV per atom
Mass density = 6.6 g cm⁻³
DFT total energy = -4.7671 eV/atom
Magnetization = 0.00 μB/f.u.

abc: 3.7352 8.7864 10.0263
angles: 77.76 79.39 89.90
Fractional positions:
La (0.0049, 0.1968, 0.4985)
La (0.1848, 0.8819, 0.1340)
La (0.1973, 0.3123, 0.1096)
La (0.8027, 0.6877, 0.8904)
La (0.8152, 0.1181, 0.8660)
La (0.9951, 0.8032, 0.5015)
Nd (0.4060, 0.4607, 0.6840)
Nd (0.5940, 0.5393, 0.3160)
Cu (0.3915, 0.9307, 0.7110)
Cu (0.6085, 0.0693, 0.2890)

---

DFT (PBE) results for crystalline LaNd2Cu at its relaxed geometry.

Summary:
Calculated formation energy = 0.07 eV per atom
Mass density = 6.5 g cm⁻³
Relative energy among the computed polymorphs = 127 meV/atom
DFT total energy = -4.5727 eV/atom
Magnetization = 0.00 μB/f.u.

abc: 3.7616 3.7616 30.6303
angles: 90.00 90.00 120.00
Fractional positions:
La (0.0000, 0.0000, 0.0000)
La (0.3333, 0.6667, 0.6667)
La (0.6667, 0.3333, 0.3333)
Nd (0.0000, 0.0000, 0.5658)
Nd (0.0000, 0.0000, 0.7678)
Nd (0.3333, 0.6667, 0.2325)
Nd (0.3333, 0.6667, 0.4344)
Nd (0.6667, 0.3333, 0.1011)
Nd (0.6667, 0.3333, 0.8992)
Cu (0.0000, 0.0000, 0.1665)
Cu (0.3333, 0.6667, 0.8332)
Cu (0.6667, 0.3333, 0.4998)

---

DFT (PBE) results for crystalline LaNd2Cu at its relaxed geometry.

Summary:
Calculated formation energy = 0.20 eV per atom
Mass density = 6.5 g cm⁻³
Relative energy among the computed polymorphs = 262 meV/atom
DFT total energy = -4.4378 eV/atom
Magnetization = 0.14 μB/f.u.

abc: 3.5874 3.5874 33.6304
angles: 90.00 90.00 120.00
Fractional positions:
La (0.0000, 0.0000, 0.0000)
La (0.3333, 0.6667, 0.6667)
La (0.6667, 0.3333, 0.3333)
Nd (0.0000, 0.0000, 0.1046)
Nd (0.0000, 0.0000, 0.8954)
Nd (0.3333, 0.6667, 0.5621)
Nd (0.3333, 0.6667, 0.7713)
Nd (0.6667, 0.3333, 0.2287)
Nd (0.6667, 0.3333, 0.4379)
Cu (0.0000, 0.0000, 0.5000)
Cu (0.3333, 0.6667, 0.1667)
Cu (0.6667, 0.3333, 0.8333)

---

DFT (PBE) results for crystalline LaNd2Cu at its relaxed geometry.

Summary:
Calculated formation energy = -0.06 eV per atom
Mass density = 6.7 g cm⁻³
Relative energy among the computed polymorphs = 0 meV/atom
DFT total energy = -4.6996 eV/atom
Magnetization = 0.00 μB/f.u.

abc: 7.0911 10.2948 6.6393
angles: 90.00 90.00 90.00
Fractional positions:
La (0.0214, 0.2500, 0.1406)
La (0.4786, 0.7500, 0.6406)
La (0.5214, 0.2500, 0.3594)
La (0.9786, 0.7500, 0.8594)
Nd (0.1889, 0.0585, 0.6706)
Nd (0.1889, 0.4415, 0.6706)
Nd (0.3111, 0.5585, 0.1706)
Nd (0.3111, 0.9415, 0.1706)
Nd (0.6889, 0.0585, 0.8294)
Nd (0.6889, 0.4415, 0.8294)
Nd (0.8111, 0.5585, 0.3293)
Nd (0.8111, 0.9415, 0.3293)
Cu (0.1047, 0.7500, 0.4241)
Cu (0.3953, 0.2500, 0.9241)
Cu (0.6047, 0.7500, 0.0759)
Cu (0.8953, 0.2500, 0.5759)

---

DFT (PBE) results for crystalline LaNdCu2 at its relaxed geometry.

Summary:
Calculated formation energy = -0.13 eV per atom
Mass density = 7.1 g cm⁻³
Relative energy among the computed polymorphs = 40 meV/atom
DFT total energy = -4.6031 eV/atom
Magnetization = 0.00 μB/f.u.

abc: 7.2542 7.2542 7.2542
angles: 90.00 90.00 90.00
Fractional positions:
La (0.0000, 0.0000, 0.0000)
La (0.0000, 0.5000, 0.5000)
La (0.5000, 0.0000, 0.5000)
La (0.5000, 0.5000, 0.0000)
Nd (0.0000, 0.0000, 0.5000)
Nd (0.0000, 0.5000, 0.0000)
Nd (0.5000, 0.0000, 0.0000)
Nd (0.5000, 0.5000, 0.5000)
Cu (0.2500, 0.2500, 0.2500)
Cu (0.2500, 0.2500, 0.7500)
Cu (0.2500, 0.7500, 0.2500)
Cu (0.2500, 0.7500, 0.7500)
Cu (0.7500, 0.2500, 0.2500)
Cu (0.7500, 0.2500, 0.7500)
Cu (0.7500, 0.7500, 0.2500)
Cu (0.7500, 0.7500, 0.7500)

---

DFT (PBE) results for crystalline La2NdCuO5 at its relaxed geometry.

Summary:
Mass density = 7.2 g cm⁻³
Formation energy (no corrections) = -247 kJ per mole of atoms
DFT total energy = -7.3960 eV/atom
Magnetization = 0.05 μB/f.u.

abc: 6.6726 6.6726 5.8843
angles: 90.00 90.00 90.00
Fractional positions:
La (0.1639, 0.3361, 0.0000)
La (0.3361, 0.8361, 0.0000)
La (0.6639, 0.1639, 0.0000)
La (0.8361, 0.6639, 0.0000)
Nd (0.0000, 0.0000, 0.5000)
Nd (0.5000, 0.5000, 0.5000)
Cu (0.0000, 0.5000, 0.5000)
Cu (0.5000, 0.0000, 0.5000)
O (0.0000, 0.0000, 0.0000)
O (0.1640, 0.6640, 0.2712)
O (0.1640, 0.6640, 0.7288)
O (0.3360, 0.1640, 0.2712)
O (0.3360, 0.1640, 0.7288)
O (0.5000, 0.5000, 0.0000)
O (0.6640, 0.8360, 0.2712)
O (0.6640, 0.8360, 0.7288)
O (0.8360, 0.3360, 0.2712)
O (0.8360, 0.3360, 0.7288)

---

DFT (PBE) results for crystalline SrLaNdCu2O6 at its relaxed geometry.

Summary:
Mass density = 6.6 g cm⁻³
Formation energy (no corrections) = -216 kJ per mole of atoms
DFT total energy = -6.7236 eV/atom
Magnetization = 0.00 μB/f.u.

abc: 10.3534 10.3534 10.3534
angles: 158.47 158.47 30.63
Fractional positions:
Sr (0.0000, 0.0000, 0.0000)
La (0.6387, 0.6387, 0.0000)
Nd (0.8213, 0.8213, 0.0000)
Cu (0.2323, 0.2323, 0.0000)
Cu (0.4101, 0.4101, 0.0000)
O (0.1219, 0.1219, 0.0000)
O (0.2407, 0.7407, 0.5000)
O (0.3972, 0.8972, 0.5000)
O (0.5277, 0.5277, 0.0000)
O (0.7407, 0.2407, 0.5000)
O (0.8972, 0.3972, 0.5000)

---

DFT (PBE) results for crystalline LaNdCuOs at its relaxed geometry.

Summary:
Calculated formation energy = -0.07 eV per atom
Mass density = 9.8 g cm⁻³
DFT total energy = -6.3266 eV/atom
Magnetization = 0.00 μB/f.u.

abc: 7.1444 7.1444 7.1444
angles: 90.00 90.00 90.00
Fractional positions:
La (0.0000, 0.0000, 0.0000)
La (0.0000, 0.5000, 0.5000)
La (0.5000, 0.0000, 0.5000)
La (0.5000, 0.5000, 0.0000)
Nd (0.0000, 0.0000, 0.5000)
Nd (0.0000, 0.5000, 0.0000)
Nd (0.5000, 0.0000, 0.0000)
Nd (0.5000, 0.5000, 0.5000)
Cu (0.2500, 0.2500, 0.7500)
Cu (0.2500, 0.7500, 0.2500)
Cu (0.7500, 0.2500, 0.2500)
Cu (0.7500, 0.7500, 0.7500)
Os (0.2500, 0.2500, 0.2500)
Os (0.2500, 0.7500, 0.7500)
Os (0.7500, 0.2500, 0.7500)
Os (0.7500, 0.7500, 0.2500)